5
Lattice="4.690 0.000 0.000 0.000 4.690 0.000 0.000 0.000 5.303" Properties=species:S:1:pos:R:3 comment="SrNbIr2Se | Alexandria | PBE-GGA | relaxed" raw_formation_energy_mev_per_atom=1053 magnetic_moment_mub_per_cell=3.05 sg=P4/mmm energy_ev_per_atom=-5.5391 crystal_system=tetragonal volume_a3_per_cell=116.6 pbc="T T T"
Sr 0.000 0.000 0.000
Nb 2.345 2.345 0.000
Ir 0.000 2.345 2.651
Ir 2.345 0.000 2.651
Se 0.000 0.000 2.651


5
Lattice="4.697 0.000 0.000 0.000 4.697 0.000 0.000 0.000 6.685" Properties=species:S:1:pos:R:3 comment="SrNbIr2Se | Alexandria | PBE-GGA | relaxed" raw_formation_energy_mev_per_atom=886 magnetic_moment_mub_per_cell=0.06 sg=P4/mmm energy_ev_per_atom=-5.7060 crystal_system=tetragonal volume_a3_per_cell=147.5 pbc="T T T"
Sr 0.000 0.000 0.000
Nb 0.000 0.000 3.343
Ir 0.000 2.349 3.343
Ir 2.349 0.000 3.343
Se 2.349 2.349 0.000


5
Lattice="4.933 0.000 0.000 0.000 4.933 0.000 0.000 0.000 5.091" Properties=species:S:1:pos:R:3 comment="SrNbIr2Se | Alexandria | PBE-GGA | relaxed" raw_formation_energy_mev_per_atom=2661 magnetic_moment_mub_per_cell=0.00 sg=P4/mmm energy_ev_per_atom=-3.9304 crystal_system=tetragonal volume_a3_per_cell=123.9 pbc="T T T"
Sr 0.000 0.000 0.000
Nb 0.000 0.000 2.545
Ir 0.000 2.467 0.000
Ir 2.467 0.000 0.000
Se 2.467 2.467 2.545


10
Lattice="7.193 0.000 0.000 0.000 7.193 0.000 0.000 0.000 2.774" Properties=species:S:1:pos:R:3 comment="NbSi2Ir2 | Alexandria | PBE-GGA | relaxed" raw_formation_energy_mev_per_atom=-549 magnetic_moment_mub_per_cell=0.00 sg=P4/mbm energy_ev_per_atom=-8.2763 crystal_system=tetragonal volume_a3_per_cell=143.5 pbc="T T T"
Nb 0.000 0.000 0.000
Nb 3.597 3.597 0.000
Si 1.070 2.527 0.000
Si 2.527 6.123 0.000
Si 4.666 1.070 0.000
Si 6.123 4.666 0.000
Ir 1.075 4.672 1.387
Ir 2.521 1.075 1.387
Ir 4.672 6.118 1.387
Ir 6.118 2.521 1.387


5
Lattice="4.620 0.000 0.000 0.000 4.620 0.000 0.000 0.000 4.620" Properties=species:S:1:pos:R:3 comment="NbSi3Ir | Alexandria | PBE-GGA | relaxed" raw_formation_energy_mev_per_atom=866 magnetic_moment_mub_per_cell=2.66 sg=Pm-3m energy_ev_per_atom=-6.1742 crystal_system=cubic volume_a3_per_cell=98.6 pbc="T T T"
Nb 0.000 0.000 0.000
Si 0.000 2.310 2.310
Si 2.310 0.000 2.310
Si 2.310 2.310 0.000
Ir 2.310 2.310 2.310


16
Lattice="6.125 0.000 0.000 0.000 6.125 0.000 0.000 0.000 6.125" Properties=species:S:1:pos:R:3 comment="NbSi2Ir | Alexandria | PBE-GGA | relaxed" raw_formation_energy_mev_per_atom=-297 magnetic_moment_mub_per_cell=0.00 sg=Fm-3m energy_ev_per_atom=-7.7411 crystal_system=cubic volume_a3_per_cell=229.8 pbc="T T T"
Nb 0.000 0.000 0.000
Nb 0.000 3.063 3.063
Nb 3.063 0.000 3.063
Nb 3.063 3.063 0.000
Si 1.531 1.531 1.531
Si 1.531 1.531 4.594
Si 1.531 4.594 1.531
Si 1.531 4.594 4.594
Si 4.594 1.531 1.531
Si 4.594 1.531 4.594
Si 4.594 4.594 1.531
Si 4.594 4.594 4.594
Ir 0.000 0.000 3.063
Ir 0.000 3.063 0.000
Ir 3.063 0.000 0.000
Ir 3.063 3.063 3.063


5
Lattice="4.741 0.000 0.000 0.000 4.741 0.000 0.000 0.000 4.741" Properties=species:S:1:pos:R:3 comment="NbSi3Ir | Alexandria | PBE-GGA | relaxed" raw_formation_energy_mev_per_atom=1394 magnetic_moment_mub_per_cell=1.90 sg=Pm-3m energy_ev_per_atom=-5.6459 crystal_system=cubic volume_a3_per_cell=106.6 pbc="T T T"
Nb 0.000 0.000 0.000
Si 0.000 0.000 2.371
Si 0.000 2.371 0.000
Si 2.371 0.000 0.000
Ir 2.371 2.371 2.371


16
Lattice="6.717 0.000 0.000 0.000 6.717 0.000 0.000 0.000 5.794" Properties=species:S:1:pos:R:3 comment="NbSi2Ir | Alexandria | PBE-GGA | relaxed" raw_formation_energy_mev_per_atom=-73 magnetic_moment_mub_per_cell=0.00 sg=I-42d energy_ev_per_atom=-7.5168 crystal_system=tetragonal volume_a3_per_cell=261.4 pbc="T T T"
Nb 0.000 0.000 0.000
Nb 0.000 3.359 1.449
Nb 3.359 0.000 4.346
Nb 3.359 3.359 2.897
Si 1.456 1.679 3.621
Si 1.679 4.815 5.070
Si 1.679 5.261 2.173
Si 1.902 1.679 0.724
Si 4.815 5.038 0.724
Si 5.038 1.456 2.173
Si 5.038 1.902 5.070
Si 5.261 5.038 3.621
Ir 0.000 0.000 2.897
Ir 0.000 3.359 4.346
Ir 3.359 0.000 1.449
Ir 3.359 3.359 0.000


10
Lattice="7.618 0.000 0.000 0.000 7.618 0.000 0.000 0.000 2.922" Properties=species:S:1:pos:R:3 comment="Nb2SiIr2 | Alexandria | PBE-GGA | relaxed" raw_formation_energy_mev_per_atom=-255 magnetic_moment_mub_per_cell=0.00 sg=P4/mbm energy_ev_per_atom=-8.9114 crystal_system=tetragonal volume_a3_per_cell=169.6 pbc="T T T"
Nb 1.263 2.546 0.000
Nb 2.546 6.355 0.000
Nb 5.072 1.263 0.000
Nb 6.355 5.072 0.000
Si 0.000 0.000 1.461
Si 3.809 3.809 1.461
Ir 0.988 4.797 1.461
Ir 2.821 0.988 1.461
Ir 4.797 6.630 1.461
Ir 6.630 2.821 1.461


10
Lattice="4.142 0.000 0.000 0.000 4.142 0.000 0.000 0.000 10.438" Properties=species:S:1:pos:R:3 comment="Sm2NbSi3Ir4 | Alexandria | PBE-GGA | relaxed" raw_formation_energy_mev_per_atom=-950 magnetic_moment_mub_per_cell=0.00 sg=P-4m2 energy_ev_per_atom=-8.0719 crystal_system=tetragonal volume_a3_per_cell=179.1 pbc="T T T"
Sm 0.000 2.071 2.502
Sm 2.071 0.000 7.936
Nb 0.000 0.000 5.219
Si 0.000 2.071 9.136
Si 2.071 0.000 1.303
Si 2.071 2.071 5.219
Ir 0.000 0.000 0.000
Ir 0.000 2.071 6.718
Ir 2.071 0.000 3.721
Ir 2.071 2.071 0.000


5
Lattice="4.628 0.000 0.000 0.000 4.628 0.000 0.000 0.000 4.361" Properties=species:S:1:pos:R:3 comment="TaNb2SiIr | Alexandria | PBE-GGA | relaxed" raw_formation_energy_mev_per_atom=504 magnetic_moment_mub_per_cell=0.00 sg=P4/mmm energy_ev_per_atom=-8.7512 crystal_system=tetragonal volume_a3_per_cell=93.4 pbc="T T T"
Ta 0.000 0.000 0.000
Nb 0.000 2.314 2.181
Nb 2.314 0.000 2.181
Si 2.314 2.314 2.181
Ir 2.314 2.314 0.000


5
Lattice="4.842 0.000 0.000 0.000 4.842 0.000 0.000 0.000 4.827" Properties=species:S:1:pos:R:3 comment="TaNb2SiIr | Alexandria | PBE-GGA | relaxed" raw_formation_energy_mev_per_atom=1072 magnetic_moment_mub_per_cell=0.00 sg=P4/mmm energy_ev_per_atom=-8.1834 crystal_system=tetragonal volume_a3_per_cell=113.2 pbc="T T T"
Ta 0.000 0.000 0.000
Nb 0.000 2.421 2.413
Nb 2.421 0.000 2.413
Si 2.421 2.421 0.000
Ir 0.000 0.000 2.413